[1]
This record from OQMD via LeMat-Bulk describes a relaxed structure of SrZrGa. The functional is PBE-GGA.

abc: 4.9997 4.9997 4.9997
angles: 60.00 60.00 60.00
With the nearest neighbours (Å) after each atom.
Atoms (fractional coordinates):
Sr1 0.0000 0.0000 0.0000  4 Ga 3.06
Zr1 0.5000 0.5000 0.5000  4 Ga 3.06
Ga1 0.2500 0.2500 0.2500  4 Zr 3.06, 4 Sr 3.06

Computed properties:
- Calculated density: 4.671 g/cm³
- Space-group type: No. 216
- ΔE to the lowest computed polymorph: 0.0000 eV per atom

[2]
This record from OQMD via LeMat-Bulk describes a relaxed structure of SrZrGa2. The functional is PBE-GGA.

abc: 5.1136 5.1136 5.1136
angles: 60.00 60.00 60.00
With the nearest neighbours (Å) after each atom.
Atoms (fractional coordinates):
Sr1 0.0000 0.0000 0.0000  4 Ga 3.13, 4 Zr 3.13
Zr1 0.2500 0.2500 0.2500  4 Sr 3.13, 4 Ga 3.13
Ga1 0.5000 0.5000 0.5000  4 Zr 3.13, 4 Ga 3.13
Ga2 0.7500 0.7500 0.7500  4 Sr 3.13, 4 Ga 3.13

Computed properties:
- Final energy: -3.72 eV/atom
- Calculated density: 5.590 g/cm³
- Space-group type: No. 216

Question: calculated density of number 1 (SrZrGa)?
Answer: 4.671 g/cm³

Repeat the first record exactly.
This record from OQMD via LeMat-Bulk describes a relaxed structure of SrZrGa. The functional is PBE-GGA.

abc: 4.9997 4.9997 4.9997
angles: 60.00 60.00 60.00
With the nearest neighbours (Å) after each atom.
Atoms (fractional coordinates):
Sr1 0.0000 0.0000 0.0000  4 Ga 3.06
Zr1 0.5000 0.5000 0.5000  4 Ga 3.06
Ga1 0.2500 0.2500 0.2500  4 Zr 3.06, 4 Sr 3.06

Computed properties:
- Calculated density: 4.671 g/cm³
- Space-group type: No. 216
- ΔE to the lowest computed polymorph: 0.0000 eV per atom

Question: Which of these has the highest calculated density?
Answer: SrZrGa2